P.
Below is an optimized crystal structure of KBe2Br, with properties calculated at the PBE level.

Output
The density of states at the Fermi level comes out at 2.99 states/eV per cell. The calculation puts the size of the total moment at 0.0 μB/f.u.

```
data_KBe2Br
_symmetry_space_group_name_H-M 'C 1 2/m 1'
_symmetry_Int_Tables_number 12
_cell_length_a 10.875
_cell_length_b 4.244
_cell_length_c 4.753
_cell_angle_alpha 90.00
_cell_angle_beta 90.34
_cell_angle_gamma 90.00
loop_
_symmetry_equiv_pos_as_xyz
'x,y,z'
'-x,-y,-z'
'-x,y,-z'
'x,-y,z'
'x+1/2,y+1/2,z'
'-x+1/2,-y+1/2,-z'
'-x+1/2,y+1/2,-z'
'x+1/2,-y+1/2,z'
loop_
_atom_site_label
_atom_site_type_symbol
_atom_site_fract_x
_atom_site_fract_y
_atom_site_fract_z
K1 K 0.000 0.000 0.000
Be1 Be 0.221 0.500 0.500
Br1 Br 0.000 0.500 0.500
```

Q.
Below is an optimized crystal structure of KBe2Br, with properties calculated at the PBE level.

Output
The density of states at the Fermi level comes out at 2.86 states/eV per cell. The calculation puts the size of the total moment at 0.0 μB/f.u.

```
data_KBe2Br
_symmetry_space_group_name_H-M 'R -3 m'
_symmetry_Int_Tables_number 166
_symmetry_space_group_name_Hall '-R 3 2"'
_cell_length_a 3.5145
_cell_length_b 3.5145
_cell_length_c 26.7397
_cell_angle_alpha 90.00
_cell_angle_beta 90.00
_cell_angle_gamma 120.00
loop_
_atom_site_label
_atom_site_type_symbol
_atom_site_fract_x
_atom_site_fract_y
_atom_site_fract_z
K1 K 0.0000 0.0000 0.0000
Be1 Be 0.0000 0.0000 0.2314
Br1 Br 0.0000 0.0000 0.5000
```

Energy relative to the most stable one, in meV/atom: P 0; Q 614

P.
Below is an optimized crystal structure of KBe2Br, with properties calculated at the PBE level.

Output
The density of states at the Fermi level comes out at 0.16 states/eV per cell. The calculation puts the size of the total moment at 0.0 μB/f.u.

```
data_KBe2Br
_symmetry_space_group_name_H-M 'F m -3 m'
_symmetry_Int_Tables_number 225
_symmetry_space_group_name_Hall '-F 4 2 3'
_cell_length_a 7.711
_cell_length_b 7.711
_cell_length_c 7.711
_cell_angle_alpha 90.00
_cell_angle_beta 90.00
_cell_angle_gamma 90.00
loop_
_atom_site_label
_atom_site_type_symbol
_atom_site_fract_x
_atom_site_fract_y
_atom_site_fract_z
K1 K 0.000 0.000 0.000
Be1 Be 0.250 0.250 0.250
Br1 Br 0.000 0.000 0.500
```

Q.
Below is an optimized crystal structure of KBe2Br, with properties calculated at the PBE level.

Output
The density of states at the Fermi level comes out at 0.50 states/eV per cell. The calculation puts the size of the total moment at 0.0 μB/f.u.

```
data_KBe2Br
_symmetry_space_group_name_H-M 'P 1 m 1'
_symmetry_Int_Tables_number 6
_cell_length_a 3.428
_cell_length_b 3.368
_cell_length_c 7.635
_cell_angle_alpha 90.00
_cell_angle_beta 102.92
_cell_angle_gamma 90.00
loop_
_symmetry_equiv_pos_as_xyz
'x,y,z'
'x,-y,z'
loop_
_atom_site_label
_atom_site_type_symbol
_atom_site_fract_x
_atom_site_fract_y
_atom_site_fract_z
K1 K 0.000 0.000 0.000
Be1 Be 0.304 0.000 0.617
Be2 Be 0.785 0.500 0.583
Br1 Br 0.638 0.500 0.278
```

Energy relative to the most stable one, in meV/atom: P 809; Q 0

P.
Below is an optimized crystal structure of KBe2Br, with properties calculated at the PBE level.

Output
The density of states at the Fermi level comes out at 0.72 states/eV per cell. The calculation puts the size of the total moment at 0.0 μB/f.u.

```
data_KBe2Br
_symmetry_space_group_name_H-M 'C m m m'
_symmetry_Int_Tables_number 65
_symmetry_space_group_name_Hall '-C 2 2'
_cell_length_a 3.535
_cell_length_b 6.092
_cell_length_c 9.064
_cell_angle_alpha 90.00
_cell_angle_beta 90.00
_cell_angle_gamma 90.00
loop_
_atom_site_label
_atom_site_type_symbol
_atom_site_fract_x
_atom_site_fract_y
_atom_site_fract_z
K1 K 0.000 0.000 0.000
Be1 Be 0.000 0.500 0.301
Br1 Br 0.000 0.000 0.500
```

Q.
Below is an optimized crystal structure of KBe2Br, with properties calculated at the PBE level.

Output
The density of states at the Fermi level comes out at 0.00 states/eV per cell. The calculation puts the size of the total moment at 0.0 μB/f.u.

```
data_KBe2Br
_symmetry_space_group_name_H-M 'I -4 2 d'
_symmetry_Int_Tables_number 122
_symmetry_space_group_name_Hall 'I -4 2bw'
_cell_length_a 8.413
_cell_length_b 8.413
_cell_length_c 5.632
_cell_angle_alpha 90.00
_cell_angle_beta 90.00
_cell_angle_gamma 90.00
loop_
_atom_site_label
_atom_site_type_symbol
_atom_site_fract_x
_atom_site_fract_y
_atom_site_fract_z
K1 K 0.000 0.000 0.000
Be1 Be 0.213 0.750 0.625
Br1 Br 0.000 0.000 0.500
```

Energy relative to the most stable one, in meV/atom: P 144; Q 0

P.
Below is an optimized crystal structure of LaBe2Br, with properties calculated at the PBE level.

Output
The density of states at the Fermi level comes out at 4.66 states/eV per cell. The calculation puts the size of the total moment at 0.0 μB/f.u.

```
data_LaBe2Br
_symmetry_space_group_name_H-M 'C 1 m 1'
_symmetry_Int_Tables_number 8
_cell_length_a 7.015
_cell_length_b 3.827
_cell_length_c 6.762
_cell_angle_alpha 90.00
_cell_angle_beta 90.33
_cell_angle_gamma 90.00
loop_
_symmetry_equiv_pos_as_xyz
'x,y,z'
'x,-y,z'
'x+1/2,y+1/2,z'
'x+1/2,-y+1/2,z'
loop_
_atom_site_label
_atom_site_type_symbol
_atom_site_fract_x
_atom_site_fract_y
_atom_site_fract_z
La1 La 0.000 0.000 0.000
Be1 Be 0.158 0.500 0.316
Be2 Be 0.337 0.000 0.279
Br1 Br 0.176 0.500 0.681
```

Q.
Below is an optimized crystal structure of LaBe2Br, with properties calculated at the PBE level.

Output
The density of states at the Fermi level comes out at 12.08 states/eV per cell. The calculation puts the size of the total moment at 0.0 μB/f.u.

```
data_LaBe2Br
_symmetry_space_group_name_H-M 'I -4 2 d'
_symmetry_Int_Tables_number 122
_symmetry_space_group_name_Hall 'I -4 2bw'
_cell_length_a 7.944
_cell_length_b 7.944
_cell_length_c 5.744
_cell_angle_alpha 90.00
_cell_angle_beta 90.00
_cell_angle_gamma 90.00
loop_
_atom_site_label
_atom_site_type_symbol
_atom_site_fract_x
_atom_site_fract_y
_atom_site_fract_z
La1 La 0.000 0.000 0.000
Be1 Be 0.222 0.250 0.625
Br1 Br 0.000 0.000 0.500
```

Energy relative to the most stable one, in meV/atom: P 0; Q 576

P.
Below is an optimized crystal structure of LaBe2Br, with properties calculated at the PBE level.

Output
The density of states at the Fermi level comes out at 3.60 states/eV per cell. The calculation puts the size of the total moment at 0.0 μB/f.u.

```
data_LaBe2Br
_symmetry_space_group_name_H-M 'P m m m'
_symmetry_Int_Tables_number 47
_cell_length_a 3.669
_cell_length_b 4.625
_cell_length_c 5.954
_cell_angle_alpha 90.00
_cell_angle_beta 90.00
_cell_angle_gamma 90.00
loop_
_symmetry_equiv_pos_as_xyz
'x,y,z'
'-x,-y,-z'
'-x,-y,z'
'x,y,-z'
'x,-y,-z'
'-x,y,z'
'-x,y,-z'
'x,-y,z'
loop_
_atom_site_label
_atom_site_type_symbol
_atom_site_fract_x
_atom_site_fract_y
_atom_site_fract_z
La1 La 0.000 0.000 0.000
Be1 Be 0.500 0.500 0.173
Br1 Br 0.000 0.000 0.500
```

Q.
Below is an optimized crystal structure of LaBe2Br, with properties calculated at the PBE level.

Output
The density of states at the Fermi level comes out at 9.12 states/eV per cell. The calculation puts the size of the total moment at 0.0 μB/f.u.

```
data_LaBe2Br
_symmetry_space_group_name_H-M 'F m m m'
_symmetry_Int_Tables_number 69
_symmetry_space_group_name_Hall '-F 2 2'
_cell_length_a 5.710
_cell_length_b 5.881
_cell_length_c 10.746
_cell_angle_alpha 90.00
_cell_angle_beta 90.00
_cell_angle_gamma 90.00
loop_
_atom_site_label
_atom_site_type_symbol
_atom_site_fract_x
_atom_site_fract_y
_atom_site_fract_z
La1 La 0.000 0.000 0.000
Be1 Be 0.000 0.250 0.250
Br1 Br 0.000 0.000 0.500
```

R.
Below is an optimized crystal structure of LaBe2Br, with properties calculated at the PBE level.

Output
The density of states at the Fermi level comes out at 3.95 states/eV per cell. The calculation puts the size of the total moment at 0.0 μB/f.u.

```
data_LaBe2Br
_symmetry_space_group_name_H-M 'P 4/m m m'
_symmetry_Int_Tables_number 123
_symmetry_space_group_name_Hall '-P 4 2'
_cell_length_a 4.196
_cell_length_b 4.196
_cell_length_c 4.727
_cell_angle_alpha 90.00
_cell_angle_beta 90.00
_cell_angle_gamma 90.00
loop_
_atom_site_label
_atom_site_type_symbol
_atom_site_fract_x
_atom_site_fract_y
_atom_site_fract_z
La1 La 0.000 0.000 0.000
Be1 Be 0.000 0.500 0.500
Br1 Br 0.500 0.500 0.000
```

Energy relative to the most stable one, in meV/atom: P 128; Q 83; R 0

P.
Below is an optimized crystal structure of LaBe2Br, with properties calculated at the PBE level.

Output
The density of states at the Fermi level comes out at 9.26 states/eV per cell. The calculation puts the size of the total moment at 0.5 μB/f.u.

```
data_LaBe2Br
_symmetry_space_group_name_H-M 'R -3 m'
_symmetry_Int_Tables_number 166
_symmetry_space_group_name_Hall '-R 3 2"'
_cell_length_a 3.4092
_cell_length_b 3.4092
_cell_length_c 25.5111
_cell_angle_alpha 90.00
_cell_angle_beta 90.00
_cell_angle_gamma 120.00
loop_
_atom_site_label
_atom_site_type_symbol
_atom_site_fract_x
_atom_site_fract_y
_atom_site_fract_z
La1 La 0.0000 0.0000 0.0000
Be1 Be 0.0000 0.0000 0.2359
Br1 Br 0.0000 0.0000 0.5000
```

Q.
Below is an optimized crystal structure of LaBe2Br, with properties calculated at the PBE level.

Output
The density of states at the Fermi level comes out at 6.65 states/eV per cell. The calculation puts the size of the total moment at 0.3 μB/f.u.

```
data_LaBe2Br
_symmetry_space_group_name_H-M 'C m m m'
_symmetry_Int_Tables_number 65
_symmetry_space_group_name_Hall '-C 2 2'
_cell_length_a 4.973
_cell_length_b 5.178
_cell_length_c 6.283
_cell_angle_alpha 90.00
_cell_angle_beta 90.00
_cell_angle_gamma 90.00
loop_
_atom_site_label
_atom_site_type_symbol
_atom_site_fract_x
_atom_site_fract_y
_atom_site_fract_z
La1 La 0.000 0.000 0.000
Be1 Be 0.000 0.500 0.314
Br1 Br 0.000 0.000 0.500
```

Energy relative to the most stable one, in meV/atom: P 128; Q 0

P.
Below is an optimized crystal structure of LaBe2Br, with properties calculated at the PBE level.

Output
The density of states at the Fermi level comes out at 6.34 states/eV per cell. The calculation puts the size of the total moment at 0.0 μB/f.u.

```
data_LaBe2Br
_symmetry_space_group_name_H-M 'I m m 2'
_symmetry_Int_Tables_number 44
_cell_length_a 4.144
_cell_length_b 4.943
_cell_length_c 8.642
_cell_angle_alpha 90.00
_cell_angle_beta 90.00
_cell_angle_gamma 90.00
loop_
_symmetry_equiv_pos_as_xyz
'x,y,z'
'-x,-y,z'
'-x,y,z'
'x,-y,z'
'x+1/2,y+1/2,z+1/2'
'-x+1/2,-y+1/2,z+1/2'
'-x+1/2,y+1/2,z+1/2'
'x+1/2,-y+1/2,z+1/2'
loop_
_atom_site_label
_atom_site_type_symbol
_atom_site_fract_x
_atom_site_fract_y
_atom_site_fract_z
La1 La 0.000 0.000 0.000
Be1 Be 0.000 0.000 0.348
Be2 Be 0.000 0.500 0.780
Br1 Br 0.000 0.500 0.226
```

Q.
Below is an optimized crystal structure of LaBe2Br, with properties calculated at the PBE level.

Output
The density of states at the Fermi level comes out at 1.63 states/eV per cell. The calculation puts the size of the total moment at 0.0 μB/f.u.

```
data_LaBe2Br
_symmetry_space_group_name_H-M 'P 4 m m'
_symmetry_Int_Tables_number 99
_cell_length_a 3.387
_cell_length_b 3.387
_cell_length_c 7.048
_cell_angle_alpha 90.00
_cell_angle_beta 90.00
_cell_angle_gamma 90.00
loop_
_symmetry_equiv_pos_as_xyz
'x,y,z'
'-y,x,z'
'-x,-y,z'
'y,-x,z'
'-x,y,z'
'y,x,z'
'x,-y,z'
'-y,-x,z'
loop_
_atom_site_label
_atom_site_type_symbol
_atom_site_fract_x
_atom_site_fract_y
_atom_site_fract_z
La1 La 0.000 0.000 0.000
Be1 Be 0.000 0.000 0.384
Be2 Be 0.500 0.500 0.287
Br1 Br 0.500 0.500 0.694
```

R.
Below is an optimized crystal structure of LaBe2Br, with properties calculated at the PBE level.

Output
The density of states at the Fermi level comes out at 8.09 states/eV per cell. The calculation puts the size of the total moment at 0.0 μB/f.u.

```
data_LaBe2Br
_symmetry_space_group_name_H-M 'F -4 3 m'
_symmetry_Int_Tables_number 216
_symmetry_space_group_name_Hall 'F -4 2 3'
_cell_length_a 6.916
_cell_length_b 6.916
_cell_length_c 6.916
_cell_angle_alpha 90.00
_cell_angle_beta 90.00
_cell_angle_gamma 90.00
loop_
_atom_site_label
_atom_site_type_symbol
_atom_site_fract_x
_atom_site_fract_y
_atom_site_fract_z
La1 La 0.000 0.000 0.000
Be1 Be 0.000 0.000 0.500
Be2 Be 0.250 0.250 0.750
Br1 Br 0.250 0.250 0.250
```

Energy relative to the most stable one, in meV/atom: P 48; Q 0; R 165

P.
Below is an optimized crystal structure of LaBe2Br, with properties calculated at the PBE level.

Output
The density of states at the Fermi level comes out at 4.52 states/eV per cell. The calculation puts the size of the total moment at 0.0 μB/f.u.

```
data_LaBe2Br
_symmetry_space_group_name_H-M 'C 1 2/m 1'
_symmetry_Int_Tables_number 12
_cell_length_a 10.883
_cell_length_b 4.138
_cell_length_c 4.549
_cell_angle_alpha 90.00
_cell_angle_beta 114.51
_cell_angle_gamma 90.00
loop_
_symmetry_equiv_pos_as_xyz
'x,y,z'
'-x,-y,-z'
'-x,y,-z'
'x,-y,z'
'x+1/2,y+1/2,z'
'-x+1/2,-y+1/2,-z'
'-x+1/2,y+1/2,-z'
'x+1/2,-y+1/2,z'
loop_
_atom_site_label
_atom_site_type_symbol
_atom_site_fract_x
_atom_site_fract_y
_atom_site_fract_z
La1 La 0.000 0.000 0.000
Be1 Be 0.223 0.500 0.983
Br1 Br 0.000 0.500 0.500
```

Q.
Below is an optimized crystal structure of LaBe2Br, with properties calculated at the PBE level.

Output
The density of states at the Fermi level comes out at 3.06 states/eV per cell. The calculation puts the size of the total moment at 0.0 μB/f.u.

```
data_LaBe2Br
_symmetry_space_group_name_H-M 'P m m m'
_symmetry_Int_Tables_number 47
_cell_length_a 4.220
_cell_length_b 4.283
_cell_length_c 4.709
_cell_angle_alpha 90.00
_cell_angle_beta 90.00
_cell_angle_gamma 90.00
loop_
_symmetry_equiv_pos_as_xyz
'x,y,z'
'-x,-y,-z'
'-x,-y,z'
'x,y,-z'
'x,-y,-z'
'-x,y,z'
'-x,y,-z'
'x,-y,z'
loop_
_atom_site_label
_atom_site_type_symbol
_atom_site_fract_x
_atom_site_fract_y
_atom_site_fract_z
La1 La 0.000 0.000 0.000
Be1 Be 0.500 0.243 0.500
Br1 Br 0.500 0.500 0.000
```

Energy relative to the most stable one, in meV/atom: P 0; Q 143